(1)
Entry from Alexandria: a geometry-optimized BaLi2Mo structure (PBE-GGA).

a = 11.145 Å, b = 11.145 Å, c = 11.145 Å
α = 155.24°, β = 155.24°, γ = 35.30°
Positions (direct):
Ba  0.000  0.000  0.000
Ba  0.750  0.250  0.500
Li  0.249  0.625  0.124
Li  0.375  0.499  0.624
Li  0.501  0.125  0.876
Li  0.875  0.751  0.376
Mo  0.250  0.750  0.500
Mo  0.500  0.500  0.000

Relative energy among the computed polymorphs: 1.02 eV per formula unit
Calculated density: 3.38 g/cm³
Magnetic moment: 7.2 μB/cell
Formation enthalpy at 0 K: 22.736 kcal/mol of atoms

=====

(2)
Entry from Alexandria: a geometry-optimized CaAlMo2C structure (PBE-GGA).

a = 4.266 Å, b = 4.266 Å, c = 4.402 Å
α = 90.00°, β = 90.00°, γ = 90.00°
Positions (direct):
Ca  0.000  0.000  0.000
Al  0.500  0.500  0.000
Mo  0.000  0.500  0.500
Mo  0.500  0.000  0.500
C  0.500  0.500  0.500

Calculated density: 5.62 g/cm³
Magnetic moment: 0.0 μB/cell
Formation enthalpy at 0 K: 9.306 kcal/mol of atoms

=====

(3)
Entry from Alexandria: a geometry-optimized CaHg2Sb structure (PBE-GGA).

a = 6.665 Å, b = 6.665 Å, c = 6.665 Å
α = 41.84°, β = 41.84°, γ = 41.84°
Positions (direct):
Ca  0.000  0.000  0.000
Hg  0.420  0.420  0.420
Hg  0.591  0.591  0.591
Sb  0.189  0.189  0.189

Formation energy from raw total energies: -0.3073 eV per atom
Calculated density: 7.85 g/cm³
Magnetic moment: 0.0 μB/cell